DFT (PBE-GGA) results for an optimized crystal structure of Ba2U3S10.

The calculation puts the uncorrected formation energy at -1.408 eV/atom. Its total moment is 0.135 μB per atom. Its density of states at the Fermi level is 43.0 states/eV per cell. As for the total energy: -6.674 eV/atom.

a = 23.6666 Å, b = 7.5884 Å, c = 9.9590 Å
α = 90.00°, β = 111.45°, γ = 90.00°
With the nearest neighbours (Å) after each atom.
Space group C2/m (No. 12)
Asymmetric unit:
1 Ba 0.1237 0.0000 0.2376 [4 per cell]  12 S 3.42-3.80
2 Ba 0.2242 0.0000 0.8351 [4 per cell]  7 S 3.31-3.47
3 U 0.0000 0.2455 0.5000 [4 per cell]  6 S 2.58-2.64
4 U 0.0804 0.5000 0.9795 [4 per cell]  6 S 2.47-2.73
5 U 0.1801 0.5000 0.5332 [4 per cell]  6 S 2.44-2.62
6 S 0.0000 0.2737 0.0000 [4 per cell]  2 U 2.63
7 S 0.0106 0.0000 0.6870 [4 per cell]  2 U 2.58
8 S 0.0152 0.5000 0.6902 [4 per cell]  3 U 2.64-2.73
9 S 0.1164 0.2275 0.5549 [8 per cell]  2 U 2.61
10 S 0.1286 0.5000 0.2593 [4 per cell]  2 U 2.55-2.60
11 S 0.1519 0.2595 0.9861 [8 per cell]  1 U 2.47
12 S 0.2371 0.5000 0.7931 [4 per cell]  1 U 2.44
13 S 0.2500 0.2500 0.5000 [4 per cell]  2 U 2.62